Below is a relaxed structure of MgSi3Mo, with properties calculated at the PBE-GGA level.

Values from the calculation:
Energy above the lowest structure with this stoichiometry, meV per atom: 0.0
Energy relative to the elements, uncorrected, meV/atom: 454
Symmetry: Pm-3m
Uncorrected energy, eV/atom: -5.2854

Lattice parameters (Å, degrees): 4.7784 4.7784 4.7784 90.00 90.00 90.00
Last column: nearest neighbours and their distance in Å.
Fractional positions:
Si (0.5000, 0.0000, 0.0000)  2 Mo 2.39
Si (0.0000, 0.0000, 0.5000)  2 Mo 2.39
Si (0.0000, 0.5000, 0.0000)  2 Mo 2.39
Mg (0.5000, 0.5000, 0.5000)  12 Si 3.38
Mo (0.0000, 0.0000, 0.0000)  6 Si 2.39